(1)
DFT (PBE) results for a relaxed Rb2LiIrF6 crystal.

Unit cell a=5.7299 b=5.7331 c=8.1231 alpha=90.02 beta=90.00 gamma=90.06
Element x y z (fractional)
1 F 0.4491 0.5492 0.7498
2 F 0.4508 0.5501 0.2502
3 F 0.7020 0.3027 0.9996
4 F 0.2038 0.8039 0.4998
5 F 0.1951 0.3037 0.4993
6 F 0.7048 0.7956 0.5008
7 F 0.9510 0.0504 0.7502
8 F 0.9490 0.0502 0.2498
9 F 0.6972 0.8023 0.9994
10 F 0.2029 0.2983 0.0007
11 F 0.1983 0.7981 0.0004
12 F 0.6959 0.2954 0.5002
13 Rb 0.4499 0.0499 0.2500
14 Rb 0.9501 0.5500 0.7502
15 Rb 0.9500 0.5503 0.2499
16 Rb 0.4500 0.0499 0.7499
17 Ir 0.9501 0.0504 0.0000
18 Ir 0.4499 0.5496 0.5000
19 Li 0.4501 0.5502 0.0000
20 Li 0.9499 0.0498 0.5000

Calculated values
The symmetry is P-1, No. 2. As for the calculated volume: 13.34 Å³/atom.

***

(2)
DFT (PBE) results for a relaxed Rb2LiIrF6 crystal.

Unit cell a=5.7327 b=5.7327 c=5.7327 alpha=119.95 beta=119.95 gamma=60.06
Element x y z (fractional)
1 F 0.2502 0.2502 0.2507
2 F 0.7498 0.7498 0.7493
3 F 0.2494 0.7495 0.2498
4 F 0.7506 0.2505 0.7502
5 F 0.7495 0.2494 0.2498
6 F 0.2505 0.7506 0.7502
7 Rb 0.2501 0.2501 0.7501
8 Rb 0.7499 0.7499 0.2499
9 Ir 0.0000 0.0000 0.0000
10 Li 0.5000 0.5000 0.5000

Calculated values
The symmetry is Fm-3m, No. 225. As for the calculated volume: 13.34 Å³/atom.

***

(3)
DFT (PBE) results for a relaxed Rb2LiIrF6 crystal.

Unit cell a=5.7356 b=5.7356 c=5.7356 alpha=58.18 beta=58.18 gamma=58.18
Element x y z (fractional)
1 Ir 0.5000 0.5000 0.5000
2 F 0.7522 0.2514 0.7522
3 F 0.7486 0.2478 0.2478
4 F 0.2478 0.7486 0.2478
5 F 0.7522 0.7522 0.2514
6 F 0.2514 0.7522 0.7522
7 F 0.2478 0.2478 0.7486
8 Li 0.0000 0.0000 0.0000
9 Rb 0.2493 0.2493 0.2493
10 Rb 0.7507 0.7507 0.7507

Calculated values
The symmetry is R-3m, No. 166. As for the calculated volume: 12.78 Å³/atom.

***

(4)
DFT (PBE) results for a relaxed Rb2LiIrF6 crystal.

Unit cell a=5.7165 b=5.7165 c=5.7165 alpha=59.83 beta=59.83 gamma=59.83
Element x y z (fractional)
1 Rb 0.7500 0.7500 0.7500
2 Rb 0.2500 0.2500 0.2500
3 F 0.7483 0.2501 0.7501
4 F 0.7501 0.7483 0.2501
5 F 0.2499 0.2517 0.7499
6 F 0.7499 0.2499 0.2517
7 F 0.2517 0.7499 0.2499
8 F 0.2501 0.7501 0.7483
9 Ir 0.0000 0.0000 0.0000
10 Li 0.5000 0.5000 0.5000

Calculated values
The symmetry is R-3, No. 148. As for the calculated volume: 13.16 Å³/atom.

***

(5)
DFT (PBE) results for a relaxed Na2IrF6 crystal.

Unit cell a=4.8559 b=4.8559 c=9.8597 alpha=90.00 beta=90.00 gamma=90.00
Element x y z (fractional)
1 Na 0.0000 0.0000 0.3339
2 Na 0.5000 0.5000 0.1661
3 Na 0.5000 0.5000 0.8339
4 Na 0.0000 0.0000 0.6661
5 F 0.1886 0.8114 0.1497
6 F 0.8114 0.1886 0.8503
7 F 0.6886 0.6886 0.6497
8 F 0.2818 0.2818 0.0000
9 F 0.2182 0.7818 0.5000
10 F 0.6886 0.6886 0.3503
11 F 0.3114 0.3114 0.6497
12 F 0.7818 0.2182 0.5000
13 F 0.7182 0.7182 0.0000
14 F 0.8114 0.1886 0.1497
15 F 0.1886 0.8114 0.8503
16 F 0.3114 0.3114 0.3503
17 Ir 0.5000 0.5000 0.5000
18 Ir 0.0000 0.0000 0.0000

Calculated values
The symmetry is P4_2/mnm, No. 136. As for the calculated volume: 12.92 Å³/atom.

***

(6)
DFT (PBE) results for a relaxed NaPIrO4F crystal.

Unit cell a=5.3882 b=5.3882 c=7.1053 alpha=105.50 beta=105.50 gamma=105.87
Element x y z (fractional)
1 Na 0.3533 0.6467 0.2500
2 Na 0.6467 0.3533 0.7500
3 O 0.6683 0.0886 0.3534
4 O 0.7570 0.5931 0.4211
5 O 0.9114 0.3317 0.1466
6 O 0.3317 0.9114 0.6466
7 O 0.5931 0.7570 0.9211
8 O 0.2430 0.4069 0.5789
9 O 0.4069 0.2430 0.0789
10 O 0.0886 0.6683 0.8534
11 Ir 0.0000 0.0000 0.5000
12 Ir 0.0000 0.0000 0.0000
13 P 0.3097 0.6903 0.7500
14 P 0.6903 0.3097 0.2500
15 F 0.1050 0.8950 0.2500
16 F 0.8950 0.1050 0.7500

Calculated values
The symmetry is C2/c, No. 15. As for the calculated volume: 11.12 Å³/atom.

***

(7)
DFT (PBE) results for a relaxed IrPbF4 crystal.

Unit cell a=6.7156 b=6.7156 c=6.7156 alpha=128.74 beta=128.74 gamma=75.44
Element x y z (fractional)
1 F 0.5582 0.6898 0.5000
2 F 0.8102 0.9418 0.5000
3 F 0.0582 0.5582 0.8685
4 F 0.6898 0.1898 0.1315
5 F 0.3102 0.8102 0.8685
6 F 0.1898 0.0582 0.5000
7 F 0.9418 0.4418 0.1315
8 F 0.4418 0.3102 0.5000
9 Ir 0.0000 0.5000 0.5000
10 Ir 0.5000 0.0000 0.5000
11 Pb 0.2500 0.2500 0.0000
12 Pb 0.7500 0.7500 0.0000

Calculated values
The symmetry is I4/mcm, No. 140. As for the calculated volume: 14.94 Å³/atom.

***

(8)
DFT (PBE) results for a relaxed Ir2Pd2F crystal.

Unit cell a=4.8728 b=4.8728 c=8.8551 alpha=90.13 beta=90.13 gamma=134.06
Element x y z (fractional)
1 F 0.7713 0.7713 0.5119
2 F 0.2416 0.2416 0.0294
3 Ir 0.7005 0.0157 0.1183
4 Ir 0.2893 0.9780 0.6197
5 Ir 0.0157 0.7005 0.1183
6 Ir 0.9780 0.2893 0.6197
7 Pd 0.7686 0.4810 0.8403
8 Pd 0.2320 0.5219 0.3430
9 Pd 0.5219 0.2320 0.3430
10 Pd 0.4810 0.7686 0.8403

Calculated values
The symmetry is Cm, No. 8. As for the calculated volume: 15.11 Å³/atom.

***

(9)
DFT (PBE) results for a relaxed Rb2IrF6 crystal.

Unit cell a=5.8012 b=5.8012 c=4.5719 alpha=90.00 beta=90.00 gamma=120.00
Element x y z (fractional)
1 F 0.3276 0.1638 0.2671
2 F 0.1638 0.8362 0.7329
3 F 0.6724 0.8362 0.7329
4 F 0.1638 0.3276 0.7329
5 F 0.8362 0.6724 0.2671
6 F 0.8362 0.1638 0.2671
7 Rb 0.3333 0.6667 0.2134
8 Rb 0.6667 0.3333 0.7866
9 Ir 0.0000 0.0000 0.5000

Calculated values
The symmetry is P-3m1, No. 164. As for the calculated volume: 14.81 Å³/atom.

***

(10)
DFT (PBE) results for a relaxed SbIrXeF12 crystal.

Unit cell a=10.2209 b=10.2209 c=7.4406 alpha=90.02 beta=90.02 gamma=148.84
Element x y z (fractional)
1 F 0.6261 0.6610 0.9451
2 F 0.1462 0.1430 0.8567
3 F 0.3167 0.5089 0.2811
4 F 0.3066 0.4631 0.6351
5 F 0.7855 0.9808 0.2948
6 F 0.4552 0.8198 0.4960
7 F 0.5089 0.3167 0.7811
8 F 0.8162 0.4470 0.5846
9 F 0.6610 0.6261 0.4451
10 F 0.9497 0.7908 0.1522
11 F 0.4470 0.8162 0.0846
12 F 0.9808 0.7855 0.7948
13 F 0.3296 0.9490 0.6041
14 F 0.4631 0.3066 0.1351
15 F 0.8198 0.4552 0.9960
16 F 0.7908 0.9497 0.6521
17 F 0.9357 0.3076 0.4848
18 F 0.5925 0.1537 0.2829
19 F 0.9490 0.3296 0.1041
20 F 0.1119 0.6682 0.3046
21 F 0.3076 0.9357 0.9848
22 F 0.1430 0.1462 0.3567
23 F 0.1537 0.5925 0.7829
24 F 0.6682 0.1119 0.8046
25 Sb 0.5612 0.7181 0.4650
26 Sb 0.7181 0.5612 0.9650
27 Xe 0.0549 0.2331 0.9692
28 Xe 0.2331 0.0549 0.4692
29 Ir 0.6159 0.1196 0.0430
30 Ir 0.1196 0.6159 0.5430

Calculated values
The symmetry is Cc, No. 9. As for the calculated volume: 13.40 Å³/atom.

***

(11)
DFT (PBE) results for a relaxed Sn2IrF8 crystal.

Unit cell a=6.5542 b=6.5542 c=6.5542 alpha=133.75 beta=133.75 gamma=67.47
Element x y z (fractional)
1 Sn 0.3466 0.3466 0.0000
2 Sn 0.6534 0.6534 0.0000
3 F 0.8009 0.3219 0.1439
4 F 0.9972 0.9977 0.4328
5 F 0.3430 0.1991 0.5210
6 F 0.5649 0.5644 0.5672
7 F 0.4356 0.0028 0.0005
8 F 0.6781 0.8220 0.4790
9 F 0.0023 0.4351 0.9995
10 F 0.1780 0.6570 0.8561
11 Ir 0.0000 0.0000 0.0000

Calculated values
The symmetry is I-4, No. 82. As for the calculated volume: 13.13 Å³/atom.

***

(12)
DFT (PBE) results for a relaxed TbIr3F crystal.

Unit cell a=5.0177 b=5.0177 c=5.0177 alpha=90.00 beta=90.00 gamma=90.00
Element x y z (fractional)
1 Ir 0.5000 0.0000 0.0000
2 Ir 0.0000 0.5000 0.0000
3 Ir 0.0000 0.0000 0.5000
4 Tb 0.0000 0.0000 0.0000
5 F 0.5000 0.5000 0.5000

Calculated values
The symmetry is Pm-3m, No. 221. As for the calculated volume: 25.27 Å³/atom.

***

Electronic total energy across the listed records, respectively: -93.29, -46.64, -46.31, -46.56, -83.20, -101.35, -57.47, -57.20, -41.33, -115.63, -50.61, -22.57 eV per cell.